Cd5Hg2: optimized geometry, GGA-PBE.

Its calculated volume is 23.49 Å³/atom. For the relative energy among the computed polymorphs, the calculation gives 11 meV per atom. The calculation puts the energy relative to the elements at 16 meV per atom. As for the total energy: -0.7241 eV/atom. The value obtained for the theoretical density is 9.73 g/cm³.

The structure belongs to space group C2/c (No. 15); the cell edges are 14.390, 5.560 and 8.260 Å and the angles 90.00°, 95.57° and 90.00°. Symmetry generates all atoms from Cd at (0.000, 0.250, 0.250), Cd at (0.143, 0.249, 0.535), Cd at (0.214, 0.252, 0.184) and Hg at (0.073, 0.251, 0.895).